{"formula": "SmYPu2S4", "functional": "PBE", "state": "optimized geometry", "dos_ef_per_ev_cell": 15.15, "space_group": "No. 10", "total_magnetization_mub_per_cell": 0.1, "lattice": [[3.957, 0.000, 0.000], [0.000, 6.914, 0.133], [0.000, -2.402, 6.377]], "species": ["Sm", "Y", "Pu", "Pu", "S", "S", "S", "S"], "frac_coords": [[0.500, 0.500, 0.000], [0.000, 0.000, 0.000], [0.500, 0.000, 0.500], [0.000, 0.500, 0.500], [0.500, 0.247, 0.250], [0.500, 0.753, 0.750], [0.000, 0.245, 0.748], [0.000, 0.755, 0.252]]}

{"formula": "SmY4Pu3S8", "functional": "PBE", "state": "optimized geometry", "dos_ef_per_ev_cell": 23.62, "space_group": "No. 166", "total_magnetization_mub_per_cell": 17.3, "lattice": [[7.869, 0.000, 0.000], [0.000, 7.904, 0.020], [-3.935, -3.931, 5.567]], "species": ["Sm", "Y", "Y", "Y", "Y", "Pu", "Pu", "Pu", "S", "S", "S", "S", "S", "S", "S", "S"], "frac_coords": [[0.000, 0.500, 0.000], [0.500, 0.000, 0.000], [0.500, 0.000, 0.500], [0.000, 0.000, 0.000], [0.000, 0.000, 0.500], [0.500, 0.500, 0.000], [0.500, 0.500, 0.500], [0.000, 0.500, 0.500], [0.253, 0.755, 0.002], [0.253, 0.755, 0.505], [0.249, 0.248, 0.499], [0.749, 0.755, 0.002], [0.251, 0.245, 0.998], [0.751, 0.752, 0.501], [0.747, 0.245, 0.495], [0.747, 0.245, 0.998]]}

Q: Which calculated volume values were calculated for the entries above? A: 175.7 346.9, in Å³/cell.
Q: Which total energy values were calculated for the entries above? A: -0.6578 -0.6324, in Ry/atom.
Q: Which ΔE_f (raw) values were calculated for the entries above? A: -15.24 -31.07, in eV/f.u..